[1]
Below is a relaxed structure of ScPtCl2, with properties calculated at the GGA-PBE level.

Summary:
Total DFT energy (no corrections) (eV for the cell shown): -37.800
Size of the total moment (μB/cell): 0.0

Lattice parameters (Å, degrees): 6.0769 8.5554 4.2666 90.00 134.50 90.00
Last column: nearest neighbours and their distance in Å.
Space group C2/m (No. 12)
Symmetry-distinct sites (fractional):
Sc 0.0000 0.0000 0.0000 (multiplicity 2)  4 Cl 2.62
Pt 0.0000 0.5000 0.0000 (multiplicity 2)  4 Cl 2.62
Cl 0.2500 0.2500 0.0000 (multiplicity 4)  2 Sc 2.62, 2 Pt 2.62

***

[2]
Below is a relaxed structure of ScPtCl, with properties calculated at the GGA-PBE level.

Summary:
Total DFT energy (no corrections) (eV for the cell shown): -71.777
Size of the total moment (μB/cell): 0.0

Lattice parameters (Å, degrees): 11.9641 3.6011 6.4662 90.00 113.53 90.00
Last column: nearest neighbours and their distance in Å.
Space group C2/m (No. 12)
Symmetry-distinct sites (fractional):
Sc 0.0000 0.0000 0.0000 (multiplicity 2)  4 Cl 2.54, 2 Pt 2.64
Sc 0.0000 0.5000 0.5000 (multiplicity 2)  2 Cl 2.58, 4 Pt 2.73
Pt 0.1525 0.0000 0.4277 (multiplicity 4)  3 Sc 2.64-2.73, 2 Pt 2.80
Cl 0.1304 0.5000 0.9290 (multiplicity 4)  3 Sc 2.54-2.58

***

[3]
Below is a relaxed structure of ScPtCl, with properties calculated at the GGA-PBE level.

Summary:
Total DFT energy (no corrections) (eV for the cell shown): -35.932
Size of the total moment (μB/cell): 0.0

Lattice parameters (Å, degrees): 6.1749 3.5858 6.4921 90.00 108.09 90.00
Last column: nearest neighbours and their distance in Å.
Space group Cm (No. 8)
Symmetry-distinct sites (fractional):
Sc 0.0000 0.0000 0.0000 (multiplicity 2)  3 Pt 2.58, 3 Cl 2.67-2.68
Pt 0.0833 0.5000 0.7486 (multiplicity 2)  3 Sc 2.58
Cl 0.4238 0.0000 0.2759 (multiplicity 2)  3 Sc 2.67-2.68, 1 Pt 2.92

***

[4]
Below is a relaxed structure of ScPtCl, with properties calculated at the GGA-PBE level.

Summary:
Total DFT energy (no corrections) (eV for the cell shown): -67.659
Size of the total moment (μB/cell): 0.0

Lattice parameters (Å, degrees): 6.3689 6.3689 6.3689 90.00 90.00 90.00
Last column: nearest neighbours and their distance in Å.
Space group F-43m (No. 216)
Symmetry-distinct sites (fractional):
Sc 0.0000 0.0000 0.0000 (multiplicity 4)  4 Pt 2.76, 4 Cl 2.76
Pt 0.2500 0.2500 0.2500 (multiplicity 4)  4 Sc 2.76
Cl 0.2500 0.2500 0.7500 (multiplicity 4)  4 Sc 2.76

***

[5]
Below is a relaxed structure of ScPtCl2, with properties calculated at the GGA-PBE level.

Summary:
Total DFT energy (no corrections) (eV for the cell shown): -18.449
Size of the total moment (μB/cell): 0.0

Lattice parameters (Å, degrees): 3.2418 4.1882 5.4254 90.00 90.00 90.00
Last column: nearest neighbours and their distance in Å.
Space group Pmmm (No. 47)
Symmetry-distinct sites (fractional):
Sc 0.0000 0.0000 0.0000 (multiplicity 1)  4 Cl 2.65
Pt 0.5000 0.0000 0.5000 (multiplicity 1)  4 Cl 2.65
Cl 0.0000 0.5000 0.5000 (multiplicity 1)  4 Pt 2.65
Cl 0.5000 0.5000 0.0000 (multiplicity 1)  4 Sc 2.65

***

[6]
Below is a relaxed structure of Sc2PtCl, with properties calculated at the GGA-PBE level.

Summary:
Total DFT energy (no corrections) (eV for the cell shown): -96.720
Size of the total moment (μB/cell): 0.0

Lattice parameters (Å, degrees): 6.8597 6.8597 7.4298 90.00 90.00 90.00
Last column: nearest neighbours and their distance in Å.
Space group I-42d (No. 122)
Symmetry-distinct sites (fractional):
Sc 0.2498 0.2500 0.1250 (multiplicity 8)  2 Pt 2.60, 2 Cl 2.60
Pt 0.0000 0.0000 0.0000 (multiplicity 4)  4 Sc 2.60
Cl 0.0000 0.0000 0.5000 (multiplicity 4)  4 Sc 2.60

***

[7]
Below is a relaxed structure of Sc2PtCl, with properties calculated at the GGA-PBE level.

Summary:
Total DFT energy (no corrections) (eV for the cell shown): -84.467
Size of the total moment (μB/cell): 7.9

Lattice parameters (Å, degrees): 6.7908 6.7908 6.7908 90.00 90.00 90.00
Last column: nearest neighbours and their distance in Å.
Space group F-43m (No. 216)
Symmetry-distinct sites (fractional):
Sc 0.0000 0.0000 0.0000 (multiplicity 4)  4 Sc 2.94, 4 Pt 2.94
Sc 0.2500 0.2500 0.2500 (multiplicity 4)  4 Cl 2.94, 4 Sc 2.94
Pt 0.2500 0.2500 0.7500 (multiplicity 4)  4 Cl 2.94, 4 Sc 2.94
Cl 0.0000 0.0000 0.5000 (multiplicity 4)  4 Pt 2.94, 4 Sc 2.94

***

[8]
Below is a relaxed structure of ScPtCl2, with properties calculated at the GGA-PBE level.

Summary:
Total DFT energy (no corrections) (eV for the cell shown): -75.085
Size of the total moment (μB/cell): 0.0

Lattice parameters (Å, degrees): 4.3728 4.3728 16.7547 90.00 90.00 90.00
Last column: nearest neighbours and their distance in Å.
Space group I-42d (No. 122)
Symmetry-distinct sites (fractional):
Sc 0.0000 0.0000 0.0000 (multiplicity 4)  4 Cl 2.60
Pt 0.0000 0.0000 0.5000 (multiplicity 4)  4 Cl 2.61
Cl 0.2464 0.2500 0.1250 (multiplicity 8)  2 Sc 2.60, 2 Pt 2.61

***

[9]
Below is a relaxed structure of Sc2PtCl, with properties calculated at the GGA-PBE level.

Summary:
Total DFT energy (no corrections) (eV for the cell shown): -48.545
Size of the total moment (μB/cell): 0.0

Lattice parameters (Å, degrees): 3.8470 5.5012 7.3490 90.00 90.00 90.00
Last column: nearest neighbours and their distance in Å.
Space group Immm (No. 71)
Symmetry-distinct sites (fractional):
Sc 0.0000 0.0000 0.2418 (multiplicity 4)  2 Cl 2.62, 2 Pt 2.70
Pt 0.0000 0.5000 0.0000 (multiplicity 2)  4 Sc 2.70
Cl 0.0000 0.5000 0.5000 (multiplicity 2)  4 Sc 2.62

***

[10]
Below is a relaxed structure of ScPtCl, with properties calculated at the GGA-PBE level.

Summary:
Total DFT energy (no corrections) (eV for the cell shown): -61.369
Size of the total moment (μB/cell): 0.0

Lattice parameters (Å, degrees): 6.2027 6.2027 6.2027 90.00 90.00 90.00
Last column: nearest neighbours and their distance in Å.
Space group F-43m (No. 216)
Symmetry-distinct sites (fractional):
Sc 0.0000 0.0000 0.0000 (multiplicity 4)  4 Cl 2.69
Pt 0.0000 0.0000 0.5000 (multiplicity 4)  4 Cl 2.69
Cl 0.2500 0.2500 0.7500 (multiplicity 4)  4 Sc 2.69, 4 Pt 2.69

***

[11]
Below is a relaxed structure of ScPtCl, with properties calculated at the GGA-PBE level.

Summary:
Total DFT energy (no corrections) (eV for the cell shown): -17.933
Size of the total moment (μB/cell): 0.0

Lattice parameters (Å, degrees): 3.5859 3.5859 6.2500 90.00 90.00 120.00
Last column: nearest neighbours and their distance in Å.
Space group P3m1 (No. 156)
Symmetry-distinct sites (fractional):
Sc 0.0000 0.0000 0.0000 (multiplicity 1)  3 Pt 2.58, 3 Cl 2.66
Pt 0.6667 0.3333 0.7539 (multiplicity 1)  3 Sc 2.58
Cl 0.3333 0.6667 0.2683 (multiplicity 1)  3 Sc 2.66

***

[12]
Below is a relaxed structure of ScPtCl, with properties calculated at the GGA-PBE level.

Summary:
Total DFT energy (no corrections) (eV for the cell shown): -36.949
Size of the total moment (μB/cell): 0.0

Lattice parameters (Å, degrees): 3.6835 3.6835 11.5407 90.00 90.00 120.00
Last column: nearest neighbours and their distance in Å.
Space group P-3m1 (No. 164)
Symmetry-distinct sites (fractional):
Sc 0.0000 0.0000 0.2101 (multiplicity 2)  3 Pt 2.64, 3 Cl 2.67
Pt 0.3333 0.6667 0.0742 (multiplicity 2)  3 Sc 2.64, 3 Pt 2.73
Cl 0.3333 0.6667 0.6506 (multiplicity 2)  3 Sc 2.67

***

[13]
Below is a relaxed structure of ScPtCl2, with properties calculated at the GGA-PBE level.

Summary:
Total DFT energy (no corrections) (eV for the cell shown): -56.352
Size of the total moment (μB/cell): 1.6

Lattice parameters (Å, degrees): 3.2079 3.2079 28.4714 90.00 90.00 120.00
Last column: nearest neighbours and their distance in Å.
Space group R-3m (No. 166, hexagonal axes)
Symmetry-distinct sites (fractional):
Sc 0.0000 0.0000 0.0000 (multiplicity 3)  6 Cl 2.50
Pt 0.0000 0.0000 0.5000 (multiplicity 3)  6 Pt 3.21, 6 Cl 3.58
Cl 0.0000 0.0000 0.2745 (multiplicity 6)  3 Sc 2.50

***

[14]
Below is a relaxed structure of ScPtCl, with properties calculated at the GGA-PBE level.

Summary:
Total DFT energy (no corrections) (eV for the cell shown): -71.720
Size of the total moment (μB/cell): 0.0

Lattice parameters (Å, degrees): 12.1405 3.4543 7.7135 90.00 126.59 90.00
Last column: nearest neighbours and their distance in Å.
Space group Cm (No. 8)
Symmetry-distinct sites (fractional):
Sc 0.0000 0.0000 0.0000 (multiplicity 2)  4 Cl 2.66-2.69, 3 Pt 2.67-2.69
Sc 0.1275 0.5000 0.7082 (multiplicity 2)  2 Cl 2.59-2.74, 4 Pt 2.62-2.77
Pt 0.3080 0.0000 0.7146 (multiplicity 2)  4 Sc 2.67-2.77, 2 Pt 2.78
Pt 0.4345 0.5000 0.6000 (multiplicity 2)  3 Sc 2.62-2.69, 2 Pt 2.78
Cl 0.0188 0.5000 0.2787 (multiplicity 2)  3 Sc 2.66-2.74
Cl 0.1996 0.5000 0.0986 (multiplicity 2)  3 Sc 2.59-2.69

***

[15]
Below is a relaxed structure of Sc2PtCl, with properties calculated at the GGA-PBE level.

Summary:
Total DFT energy (no corrections) (eV for the cell shown): -76.298
Size of the total moment (μB/cell): 0.0

Lattice parameters (Å, degrees): 4.0274 4.0274 22.6785 90.00 90.00 120.00
Last column: nearest neighbours and their distance in Å.
Space group R-3m (No. 166, hexagonal axes)
Symmetry-distinct sites (fractional):
Sc 0.0000 0.0000 0.1100 (multiplicity 6)  1 Cl 2.49, 3 Pt 2.66
Pt 0.0000 0.0000 0.5000 (multiplicity 3)  6 Sc 2.66
Cl 0.0000 0.0000 0.0000 (multiplicity 3)  2 Sc 2.49

***

[16]
Below is a relaxed structure of ScPtCl4, with properties calculated at the GGA-PBE level.

Summary:
Total DFT energy (no corrections) (eV for the cell shown): -68.340
Size of the total moment (μB/cell): 6.1

Lattice parameters (Å, degrees): 7.9557 7.9557 7.9557 90.00 90.00 90.00
Last column: nearest neighbours and their distance in Å.
Space group F-43m (No. 216)
Symmetry-distinct sites (fractional):
Sc 0.0000 0.0000 0.0000 (multiplicity 4)  12 Cl 3.30, 4 Pt 3.44
Pt 0.2500 0.2500 0.2500 (multiplicity 4)  12 Cl 3.30, 4 Sc 3.44
Cl 0.1248 0.1248 0.6248 (multiplicity 16)  6 Cl 2.81-2.82

***

[17]
Below is a relaxed structure of Sc2PtCl, with properties calculated at the GGA-PBE level.

Summary:
Total DFT energy (no corrections) (eV for the cell shown): -25.434
Size of the total moment (μB/cell): 0.0

Lattice parameters (Å, degrees): 3.4239 3.2260 7.5133 90.00 90.07 90.00
Last column: nearest neighbours and their distance in Å.
Space group P2/m (No. 10)
Symmetry-distinct sites (fractional):
Sc 0.0003 0.0000 0.2093 (multiplicity 2)  2 Cl 2.72, 4 Pt 2.83
Pt 0.5000 0.5000 0.0000 (multiplicity 1)  8 Sc 2.83
Cl 0.0000 0.5000 0.5000 (multiplicity 1)  4 Sc 2.72

***

[18]
Below is a relaxed structure of ScPtCl, with properties calculated at the GGA-PBE level.

Summary:
Total DFT energy (no corrections) (eV for the cell shown): -73.719
Size of the total moment (μB/cell): 0.0

Lattice parameters (Å, degrees): 9.2172 3.4683 10.6206 90.00 112.87 90.00
Last column: nearest neighbours and their distance in Å.
Space group C2/m (No. 12)
Symmetry-distinct sites (fractional):
Sc 0.0108 0.0000 0.1620 (multiplicity 4)  2 Cl 2.51, 2 Pt 2.73
Pt 0.1619 0.5000 0.0395 (multiplicity 4)  3 Pt 2.72-2.77, 5 Sc 2.73-2.96
Cl 0.0672 0.5000 0.3454 (multiplicity 4)  2 Sc 2.51

***

[19]
Below is a relaxed structure of Sc2PtCl, with properties calculated at the GGA-PBE level.

Summary:
Total DFT energy (no corrections) (eV for the cell shown): -76.112
Size of the total moment (μB/cell): 0.0

Lattice parameters (Å, degrees): 3.7683 3.7683 20.8927 90.00 90.00 120.00
Last column: nearest neighbours and their distance in Å.
Space group R-3m (No. 166, hexagonal axes)
Symmetry-distinct sites (fractional):
Sc 0.0000 0.0000 0.2380 (multiplicity 6)  3 Pt 2.64, 3 Cl 2.95
Pt 0.0000 0.0000 0.5000 (multiplicity 3)  6 Sc 2.64
Cl 0.0000 0.0000 0.0000 (multiplicity 3)  6 Sc 2.95

***

[20]
Below is a relaxed structure of Sc2SnPtCl, with properties calculated at the GGA-PBE level.

Summary:
Total DFT energy (no corrections) (eV for the cell shown): -22.244
Size of the total moment (μB/cell): 0.0

Lattice parameters (Å, degrees): 5.4532 5.4532 5.0182 90.00 90.00 90.00
Last column: nearest neighbours and their distance in Å.
Space group P4/mmm (No. 123)
Symmetry-distinct sites (fractional):
Sc 0.0000 0.5000 0.0000 (multiplicity 2)  2 Sn 2.73
Sn 0.0000 0.0000 0.0000 (multiplicity 1)  2 Cl 2.51, 4 Sc 2.73
Pt 0.5000 0.5000 0.5000 (multiplicity 1)  8 Sc 3.71, 4 Cl 3.86
Cl 0.0000 0.0000 0.5000 (multiplicity 1)  2 Sn 2.51